Entry 1:
First-principles (PBE-GGA) data for a relaxed structure of AcLa2P3, as listed in the Alexandria database.

Computed properties:
Formation enthalpy at 0 K (eV per atom): -1.531
ρ (g/cm³): 5.739

a b c (Å): 4.336 6.135 7.509
angles (deg): 114.11 106.78 90.00
Positions (direct):
1 P 0.672 0.672 0.345
2 P 0.328 0.328 0.655
3 La 0.333 0.833 0.667
4 Ac 0.000 0.500 0.000
5 P 0.000 0.000 0.000
6 La 0.667 0.167 0.333

=====

Entry 2:
First-principles (PBE-GGA) data for a relaxed structure of AcLa3P, as listed in the Alexandria database.

Computed properties:
Formation enthalpy at 0 K (eV per atom): -0.485
ρ (g/cm³): 5.891

a b c (Å): 5.751 5.751 5.751
angles (deg): 90.00 90.00 90.00
Positions (direct):
1 La 0.000 0.500 0.000
2 Ac 0.500 0.500 0.500
3 La 0.500 0.000 0.000
4 P 0.000 0.000 0.000
5 La 0.000 0.000 0.500

=====

Entry 3:
First-principles (PBE-GGA) data for a relaxed structure of AcLa2PaP4, as listed in the Alexandria database.

Computed properties:
Formation enthalpy at 0 K (eV per atom): -1.444
ρ (g/cm³): 6.677

a b c (Å): 4.220 7.349 7.306
angles (deg): 109.34 90.00 90.00
Positions (direct):
1 Ac 0.500 0.500 0.000
2 P 0.500 0.228 0.235
3 Pa 0.000 0.000 0.000
4 La 0.500 0.000 0.500
5 P 0.500 0.772 0.765
6 P 0.000 0.230 0.756
7 La 0.000 0.500 0.500
8 P 0.000 0.770 0.244

=====

Entry 4:
First-principles (PBE-GGA) data for a relaxed structure of Ac2LaP3Pd12, as listed in the Alexandria database.

Computed properties:
Formation enthalpy at 0 K (eV per atom): -0.471
ρ (g/cm³): 8.539

a b c (Å): 7.907 7.907 7.907
angles (deg): 64.18 64.18 64.18
Positions (direct):
1 Pd 0.678 0.678 0.103
2 La 0.000 0.000 0.000
3 Pd 0.859 0.409 0.859
4 Pd 0.103 0.678 0.678
5 Pd 0.678 0.103 0.678
6 Pd 0.141 0.141 0.591
7 Pd 0.322 0.322 0.897
8 Ac 0.600 0.600 0.600
9 Ac 0.400 0.400 0.400
10 Pd 0.322 0.897 0.322
11 P 0.000 0.000 0.500
12 Pd 0.859 0.859 0.409
13 Pd 0.409 0.859 0.859
14 P 0.500 0.000 0.000
15 Pd 0.897 0.322 0.322
16 Pd 0.591 0.141 0.141
17 Pd 0.141 0.591 0.141
18 P 0.000 0.500 0.000

=====

Entry 5:
First-principles (PBE-GGA) data for a relaxed structure of AcLaP2Pd2, as listed in the Alexandria database.

Computed properties:
Formation enthalpy at 0 K (eV per atom): -1.274
ρ (g/cm³): 8.055

a b c (Å): 4.324 4.324 8.157
angles (deg): 90.00 90.00 120.00
Positions (direct):
1 P 0.333 0.667 0.261
2 P 0.667 0.333 0.739
3 Pd 0.667 0.333 0.256
4 Ac 0.000 0.000 0.000
5 La 0.000 0.000 0.500
6 Pd 0.333 0.667 0.744

=====

Entry 6:
First-principles (PBE-GGA) data for a relaxed structure of AcLaPPd, as listed in the Alexandria database.

Computed properties:
Formation enthalpy at 0 K (eV per atom): -0.858
ρ (g/cm³): 8.081

a b c (Å): 5.269 5.269 5.269
angles (deg): 60.00 60.00 60.00
Positions (direct):
1 Ac 0.250 0.250 0.250
2 Pd 0.000 0.000 0.000
3 La 0.750 0.750 0.750
4 P 0.500 0.500 0.500

=====

Entry 7:
First-principles (PBE-GGA) data for a relaxed structure of Ac2LaPmP4, as listed in the Alexandria database.

Computed properties:
Formation enthalpy at 0 K (eV per atom): -1.500
ρ (g/cm³): 6.239

a b c (Å): 4.329 7.500 7.491
angles (deg): 70.59 90.00 90.00
Positions (direct):
1 P 0.500 0.736 0.257
2 La 0.500 0.500 0.000
3 P 0.000 0.262 0.249
4 Ac 0.500 0.000 0.500
5 P 0.000 0.738 0.751
6 P 0.500 0.264 0.743
7 Pm 0.000 0.500 0.500
8 Ac 0.000 0.000 0.000

=====

Entry 8:
First-principles (PBE-GGA) data for a relaxed structure of AcLa3Pm2P6, as listed in the Alexandria database.

Computed properties:
Formation enthalpy at 0 K (eV per atom): -1.538
ρ (g/cm³): 5.668

a b c (Å): 7.381 7.381 7.374
angles (deg): 99.61 99.61 119.99
Positions (direct):
1 Pm 0.667 0.333 0.000
2 Pm 0.333 0.667 0.000
3 La 0.834 0.166 0.500
4 La 0.500 0.500 0.500
5 P 0.740 0.740 0.249
6 La 0.166 0.834 0.500
7 P 0.260 0.260 0.751
8 Ac 0.000 0.000 0.000
9 P 0.574 0.917 0.751
10 P 0.917 0.574 0.751
11 P 0.083 0.426 0.249
12 P 0.426 0.083 0.249